{
  "formula": "Li2VP4H8O16",
  "functional": "PBE+U",
  "state": "relaxed",
  "sg": "P-1, No. 2",
  "e_tot_ev_per_atom": -6.25,
  "volume_a3_per_cell": 370.18,
  "lattice_angstrom": [[6.9220, 0.0000, 0.0000], [1.2188, 7.1145, 0.0000], [0.4562, 1.2854, 7.5169]],
  "species": ["Li", "Li", "V", "P", "P", "P", "P", "H", "H", "H", "H", "H", "H", "H", "H", "O", "O", "O", "O", "O", "O", "O", "O", "O", "O", "O", "O", "O", "O", "O", "O"],
  "fractional_positions": [[0.2116, 0.3050, 0.3087], [0.7884, 0.6950, 0.6913], [0.0000, 0.0000, 0.5000], [0.1941, 0.7387, 0.1882], [0.2310, 0.2705, 0.7171], [0.7690, 0.7295, 0.2829], [0.8059, 0.2613, 0.8118], [0.1080, 0.7836, 0.8300], [0.1623, 0.6483, 0.6876], [0.2910, 0.0048, 0.9259], [0.4776, 0.5479, 0.2716], [0.5224, 0.4521, 0.7284], [0.7090, 0.9952, 0.0741], [0.8377, 0.3517, 0.3124], [0.8920, 0.2164, 0.1700], [0.0105, 0.3465, 0.7899], [0.0596, 0.7558, 0.7164], [0.2038, 0.8696, 0.3190], [0.2109, 0.1757, 0.5575], [0.2171, 0.8245, 0.9933], [0.3245, 0.4495, 0.6760], [0.3348, 0.5393, 0.2352], [0.3366, 0.1350, 0.8766], [0.6634, 0.8650, 0.1234], [0.6652, 0.4607, 0.7648], [0.6755, 0.5505, 0.3240], [0.7829, 0.1755, 0.0067], [0.7891, 0.8243, 0.4425], [0.7962, 0.1304, 0.6810], [0.9404, 0.2442, 0.2836], [0.9895, 0.6535, 0.2101]]
}